An optimized crystal structure of Cd3HPt3, computed with PBE.

Cell lengths 5.4965, 5.4965, 15.3047 Å; angles 106.95, 106.95, 31.11 degrees
Sites, in units of the cell vectors:
Cd1 0.0230 0.0230 0.3943
Cd2 0.1234 0.1234 0.9225
Cd3 0.2576 0.2576 0.2389
Cd4 0.7424 0.7424 0.7611
Cd5 0.8766 0.8766 0.0775
Cd6 0.9770 0.9770 0.6057
H1 0.2388 0.2388 0.6184
H2 0.7612 0.7612 0.3816
Pt1 0.3145 0.3145 0.4416
Pt2 0.3859 0.3859 0.9197
Pt3 0.4795 0.4795 0.7635
Pt4 0.5205 0.5205 0.2365
Pt5 0.6141 0.6141 0.0803
Pt6 0.6855 0.6855 0.5584

Computed properties:
**Magnetization**: 0.00 μB per formula unit
**Calculated total energy**: -3.6571 eV per atom
**Crystal system**: monoclinic

---

An optimized crystal structure of CdHPt3, computed with PBE.

Cell lengths 10.4288, 10.4288, 10.4288 Å; angles 153.54, 153.54, 37.77 degrees
Sites, in units of the cell vectors:
Cd1 0.0000 0.0000 0.0000
Cd2 0.7500 0.2500 0.5000
H1 0.1315 0.6315 0.5000
H2 0.3685 0.8685 0.5000
Pt1 0.3674 0.3674 0.0000
Pt2 0.3711 0.1254 0.2456
Pt3 0.6326 0.6326 0.0000
Pt4 0.8746 0.1202 0.2456
Pt5 0.8746 0.6289 0.7544
Pt6 0.8798 0.1254 0.7544

Computed properties:
**Magnetization**: 0.00 μB per formula unit
**Calculated total energy**: -3.8780 eV per atom
**Crystal system**: tetragonal
**Energy relative to the lowest polymorph listed for this composition**: 747 meV per atom

---

An optimized crystal structure of CdHPt3, computed with PBE.

Cell lengths 5.0089, 5.0089, 8.2499 Å; angles 114.59, 114.59, 49.90 degrees
Sites, in units of the cell vectors:
Cd1 0.1305 0.1305 0.1890
Cd2 0.8695 0.8695 0.8110
H1 0.2499 0.7501 0.5000
H2 0.7501 0.2499 0.5000
Pt1 0.1269 0.1269 0.7038
Pt2 0.3671 0.3671 0.5699
Pt3 0.3739 0.3739 0.0575
Pt4 0.6261 0.6261 0.9425
Pt5 0.6329 0.6329 0.4301
Pt6 0.8731 0.8731 0.2962

Computed properties:
**Magnetization**: 0.00 μB per formula unit
**Calculated total energy**: -4.5565 eV per atom
**Crystal system**: monoclinic
**Energy relative to the lowest polymorph listed for this composition**: 68 meV per atom